# Co2AsPb

Crystalline Co2AsPb at its relaxed geometry (GGA-PBE, Alexandria).

Crystal system = monoclinic
V = 17.363 Å³/atom
Total energy = -0.401 Ry/atom
Excess energy over the best structure of this formula in the dataset = 78 meV/atom
D(E_F) = 0.7407 states/eV per atom

Cell: 7.684 3.355 5.489 Å, 90.00 100.97 90.00°
Space group Cm (No. 8)
Asymmetric unit:
Co 0.000 0.000 0.000 x2
Co 0.241 0.500 0.278 x2
As 0.442 0.000 0.254 x2
Pb 0.238 0.000 0.707 x2